First-principles (PBE-GGA) data for MgMo after structural relaxation, as listed in OQMD.

Unit cell a=8.2996 b=5.7367 c=4.4801 alpha=90.00 beta=90.00 gamma=87.81
Last column: nearest neighbours and their distance in Å.
Element x y z (fractional)
Mg  0.0479  0.4581  0.0000  7 Mg 2.86-3.19, 3 Mo 2.89-2.96
Mg  0.6788  0.5913  0.0000  8 Mo 2.84-3.17, 3 Mg 2.91-3.13
Mg  0.0253  0.9560  0.0000  6 Mg 2.85-2.91, 2 Mo 2.86-3.08
Mg  0.2101  0.1309  0.5000  8 Mo 2.84-3.17, 3 Mg 2.91-3.13
Mg  0.8410  0.2642  0.5000  7 Mg 2.86-3.19, 3 Mo 2.90-2.96
Mg  0.8636  0.7663  0.5000  6 Mg 2.85-2.91, 2 Mo 2.86-3.08
Mo  0.6616  0.0871  0.0000  3 Mo 2.50-2.65
Mo  0.3880  0.2853  0.0000  3 Mo 2.50-2.59
Mo  0.3546  0.7912  0.0000  6 Mo 2.65-2.90, 2 Mg 2.86-2.88
Mo  0.5008  0.4369  0.5000  3 Mo 2.50-2.59
Mo  0.2272  0.6351  0.5000  3 Mo 2.50-2.65
Mo  0.5342  0.9309  0.5000  6 Mo 2.65-2.91, 2 Mg 2.86-2.88

Summary:
The space group is P2_1/m (11). The calculation puts the polymorph energy (0 for the lowest one) at 0.022 eV per atom. The calculation puts the total magnetic moment at 0.001 μB per atom. The value obtained for the final energy is -5.979 eV per atom.


First-principles (PBE-GGA) data for MgMo after structural relaxation, as listed in OQMD.

Unit cell a=9.2008 b=6.4016 c=4.7482 alpha=90.00 beta=90.00 gamma=90.00
Last column: nearest neighbours and their distance in Å.
Element x y z (fractional)
Mg  0.4551  0.0000  0.0000  2 Mo 2.82, 6 Mg 2.85-2.88
Mg  0.9535  0.0000  0.0000  2 Mg 2.78, 8 Mo 2.80-3.09
Mg  0.1979  0.2559  0.0000  4 Mg 2.78-2.88, 4 Mo 2.89-3.11
Mg  0.1979  0.7441  0.0000  4 Mg 2.78-2.88, 4 Mo 2.89-3.11
Mg  0.4688  0.2441  0.5000  4 Mg 2.78-2.88, 4 Mo 2.89-3.11
Mg  0.2116  0.5000  0.5000  2 Mo 2.82, 6 Mg 2.85-2.88
Mg  0.7132  0.5000  0.5000  2 Mg 2.78, 8 Mo 2.80-3.09
Mg  0.4688  0.7559  0.5000  4 Mg 2.78-2.88, 4 Mo 2.89-3.11
Mo  0.7060  0.2540  0.0000  2 Mo 2.53-2.58, 2 Mg 2.80-2.82
Mo  0.4905  0.5000  0.0000  2 Mo 2.53
Mo  0.9276  0.5000  0.0000  2 Mo 2.58
Mo  0.7060  0.7460  0.0000  2 Mo 2.53-2.58, 2 Mg 2.80-2.82
Mo  0.1762  0.0000  0.5000  2 Mo 2.53
Mo  0.7391  0.0000  0.5000  2 Mo 2.58
Mo  0.9607  0.2460  0.5000  2 Mo 2.53-2.58, 2 Mg 2.80-2.82
Mo  0.9607  0.7540  0.5000  2 Mo 2.53-2.58, 2 Mg 2.80-2.82

Summary:
The space group is Pmmn (59). The calculation puts the polymorph energy (0 for the lowest one) at 0.069 eV per atom. The calculation puts the total magnetic moment at 0.005 μB per atom. The value obtained for the final energy is -5.931 eV per atom.


First-principles (PBE-GGA) data for MgMo after structural relaxation, as listed in OQMD.

Unit cell a=4.6382 b=9.8781 c=4.5708 alpha=90.00 beta=90.00 gamma=90.01
Last column: nearest neighbours and their distance in Å.
Element x y z (fractional)
Mg  0.9448  0.0115  0.0000  4 Mo 2.81-2.94, 6 Mg 2.98-3.03
Mg  0.9633  0.3408  0.0000  9 Mo 2.76-3.06, 2 Mg 2.76
Mg  0.4634  0.4928  0.0000  9 Mo 2.76-3.06, 2 Mg 2.76
Mg  0.4448  0.8216  0.0000  4 Mo 2.80-2.94, 6 Mg 2.98-3.03
Mg  0.3736  0.0143  0.5000  5 Mo 2.85-3.04, 6 Mg 2.99-3.03
Mg  0.8737  0.8187  0.5000  5 Mo 2.85-3.04, 6 Mg 2.99-3.03
Mo  0.4629  0.1833  0.0000  4 Mo 2.68-2.94, 6 Mg 2.79-2.94
Mo  0.9630  0.6501  0.0000  4 Mo 2.68-2.94, 6 Mg 2.79-2.94
Mo  0.8596  0.1916  0.5000  2 Mo 2.51-2.80, 2 Mg 2.76
Mo  0.3956  0.3220  0.5000  4 Mo 2.51-2.80
Mo  0.8957  0.5115  0.5000  4 Mo 2.51-2.80
Mo  0.3596  0.6417  0.5000  2 Mo 2.51-2.80, 2 Mg 2.76

Summary:
The space group is Pmc2_1 (26). The calculation puts the polymorph energy (0 for the lowest one) at 0.149 eV per atom. The calculation puts the total magnetic moment at 0.004 μB per atom. The value obtained for the final energy is -5.852 eV per atom.


First-principles (PBE-GGA) data for MgMo after structural relaxation, as listed in OQMD.

Unit cell a=5.0799 b=5.8548 c=4.7075 alpha=90.00 beta=90.00 gamma=90.00
Last column: nearest neighbours and their distance in Å.
Element x y z (fractional)
Mg  0.5050  0.2390  0.0000  6 Mg 2.80-3.09, 6 Mo 2.83-2.95
Mg  0.9760  0.5000  0.0000  6 Mg 2.84-3.09, 6 Mo 2.93-2.97
Mg  0.5050  0.7610  0.0000  6 Mg 2.80-3.09, 6 Mo 2.83-2.95
Mg  0.3224  0.5000  0.5000  6 Mo 2.93-3.02, 6 Mg 2.94-2.96
Mo  0.0168  0.0000  0.0000  6 Mg 2.85-2.95, 6 Mo 2.86-2.94
Mo  0.3637  0.0000  0.5000  4 Mo 2.66-2.94, 6 Mg 2.83-2.93
Mo  0.8222  0.2209  0.5000  4 Mo 2.59-2.86, 2 Mg 2.85
Mo  0.8222  0.7791  0.5000  4 Mo 2.59-2.86, 2 Mg 2.85

Summary:
The space group is Pmm2 (25). The calculation puts the polymorph energy (0 for the lowest one) at 0.200 eV per atom. The calculation puts the total magnetic moment at 0.002 μB per atom. The value obtained for the final energy is -5.801 eV per atom.


First-principles (PBE-GGA) data for Mg4Mo3 after structural relaxation, as listed in OQMD.

Unit cell a=8.0446 b=8.0451 c=4.6717 alpha=90.00 beta=90.00 gamma=60.00
Last column: nearest neighbours and their distance in Å.
Element x y z (fractional)
Mg  0.5628  0.1588  0.0000  7 Mg 2.95-3.19, 4 Mo 2.95-3.01
Mg  0.1429  0.2857  0.0000  9 Mg 2.98-3.00, 3 Mo 3.27
Mg  0.8498  0.7056  0.0000  7 Mg 2.95-3.19, 4 Mo 2.95-3.01
Mg  0.0159  0.9927  0.0000  7 Mg 2.95-3.19, 4 Mo 2.95-3.01
Mg  0.3896  0.0793  0.5000  7 Mg 2.95-3.19, 4 Mo 2.95-3.01
Mg  0.9365  0.2453  0.5000  7 Mg 2.95-3.19, 4 Mo 2.95-3.01
Mg  0.1026  0.5324  0.5000  7 Mg 2.95-3.19, 4 Mo 2.95-3.01
Mg  0.8095  0.9524  0.5000  9 Mg 2.98-3.00, 3 Mo 3.27
Mo  0.6796  0.4529  0.0000  6 Mo 2.61-2.78
Mo  0.3101  0.5816  0.0000  6 Mo 2.61-2.78
Mo  0.4387  0.8225  0.0000  6 Mo 2.61-2.78
Mo  0.5136  0.4155  0.5000  6 Mo 2.61-2.78
Mo  0.6423  0.6564  0.5000  6 Mo 2.61-2.78
Mo  0.2727  0.7852  0.5000  6 Mo 2.61-2.78

Summary:
The space group is P6_3/m (176). The calculation puts the polymorph energy (0 for the lowest one) at 0.000 eV per atom. The calculation puts the total magnetic moment at 0.001 μB per atom. The value obtained for the final energy is -5.303 eV per atom.


First-principles (PBE-GGA) data for MgMo after structural relaxation, as listed in OQMD.

Unit cell a=4.6297 b=6.7871 c=4.6292 alpha=90.00 beta=90.00 gamma=90.00
Last column: nearest neighbours and their distance in Å.
Element x y z (fractional)
Mg  0.4180  0.2679  0.0000  5 Mo 2.95-3.02, 8 Mg 3.02-3.28
Mg  0.9180  0.9821  0.0000  5 Mo 2.95-3.02, 8 Mg 3.02-3.28
Mg  0.9153  0.2679  0.5000  5 Mo 2.95-3.02, 8 Mg 3.02-3.28
Mg  0.4153  0.9821  0.5000  5 Mo 2.95-3.02, 8 Mg 3.02-3.28
Mo  0.9176  0.5376  0.0000  4 Mo 2.60
Mo  0.4176  0.7124  0.0000  4 Mo 2.60
Mo  0.4158  0.5376  0.5000  4 Mo 2.60
Mo  0.9158  0.7124  0.5000  4 Mo 2.60

Summary:
The space group is Pbcm (57). The calculation puts the polymorph energy (0 for the lowest one) at 0.000 eV per atom. The calculation puts the total magnetic moment at 0.002 μB per atom. The value obtained for the final energy is -6.001 eV per atom.